The following is a PBE calculation of an optimized crystal structure of Ba3Br, from the Alexandria database.

a = 5.406 Å, b = 5.406 Å, c = 15.035 Å
α = 90.00°, β = 90.00°, γ = 90.00°
Space group I4/mmm (No. 139)
Inequivalent atoms, fractional coordinates:
Ba  0.000  0.000  0.000 x2
Ba  0.000  0.500  0.250 x4
Br  0.000  0.000  0.500 x2

The following is a PBE calculation of an optimized crystal structure of Ba3Br, from the Alexandria database.

a = 7.559 Å, b = 7.559 Å, c = 7.559 Å
α = 90.00°, β = 90.00°, γ = 90.00°
Space group Pm-3n (No. 223)
Inequivalent atoms, fractional coordinates:
Ba  0.000  0.250  0.500 x6
Br  0.000  0.000  0.000 x2

The following is a PBE calculation of an optimized crystal structure of Ba3Br, from the Alexandria database.

a = 15.305 Å, b = 8.572 Å, c = 7.025 Å
α = 90.00°, β = 90.00°, γ = 90.00°
Space group Cmcm (No. 63)
Inequivalent atoms, fractional coordinates:
Ba  0.000  0.228  0.250 x4
Ba  0.184  0.345  0.750 x8
Br  0.000  0.151  0.750 x4

| no. | raw formation energy (meV/atom) | total moment (μB per atom) | density of states at the Fermi level (states/eV/atom) |
| --- | --- | --- | --- |
| 1 | -391 | 0.00 | 1.31 |
| 2 | -353 | 0.30 | 1.30 |
| 3 | -689 | 0.28 | 1.15 |